1.
The following is a GGA-PBE calculation of a relaxed FeRhAu3 crystal, from the Alexandria database.

## Properties
Energy above the lowest structure with this stoichiometry in eV/atom: 0.000
Space-group type: Pm-3m
Formation energy from the elements in meV per atom: 1100

a = 4.726 Å, b = 4.726 Å, c = 4.726 Å
α = 90.00°, β = 90.00°, γ = 90.00°
Each line ends with the local moment (μB).
Sites, in units of the cell vectors:
Fe 0.000 0.000 0.000  2.87
Rh 0.500 0.500 0.500  0.65
Au 0.500 0.000 0.000  0.04
Au 0.000 0.500 0.000  0.15
Au 0.000 0.000 0.500  0.23


2.
The following is a GGA-PBE calculation of a relaxed La2DyGa4 crystal, from the Alexandria database.

## Properties
Space-group type: Immm
Formation energy from the elements in meV per atom: -604

a = 4.223 Å, b = 4.348 Å, c = 10.037 Å
α = 102.51°, β = 102.15°, γ = 90.00°
Sites, in units of the cell vectors:
Ga 0.937 0.437 0.873
La 0.184 0.184 0.369
La 0.816 0.816 0.631
Dy 0.500 0.000 0.000
Ga 0.636 0.636 0.272
Ga 0.364 0.364 0.728
Ga 0.063 0.563 0.127